Compound: CuHgAu2
Source: Alexandria
Functional: PBEsol
Structure: relaxed

CIF file:
```
data_CuHgAu2
_cell_length_a 3.452
_cell_length_b 4.358
_cell_length_c 5.197
_cell_angle_alpha 114.79
_cell_angle_beta 109.39
_cell_angle_gamma 90.00
_space_group_name_H-M_alt 'P 1'
_space_group_IT_number 1
_space_group_name_Hall 'P 1'
loop_
_atom_site_label
_atom_site_type_symbol
_atom_site_fract_x
_atom_site_fract_y
_atom_site_fract_z
Au1 Au 0.271 0.271 0.543
Cu1 Cu 0.000 0.500 0.000
Au2 Au 0.729 0.729 0.457
Hg1 Hg 0.500 0.000 0.000
```

Calculated values
N(E_F) = 1.12 states/eV/cell
Space-group type = Immm, No. 71
Total magnetization = 0.000 μB per cell
Volume = 66.1 Å³ per cell
Uncorrected energy = -12.60 eV for the cell shown

---

Compound: Sb3Mo
Source: Alexandria
Functional: PBEsol
Structure: relaxed

CIF file:
```
data_Sb3Mo
_cell_length_a 4.513
_cell_length_b 4.513
_cell_length_c 4.513
_cell_angle_alpha 90.00
_cell_angle_beta 90.00
_cell_angle_gamma 90.00
_space_group_name_H-M_alt 'P 1'
_space_group_IT_number 1
_space_group_name_Hall 'P 1'
loop_
_atom_site_label
_atom_site_type_symbol
_atom_site_fract_x
_atom_site_fract_y
_atom_site_fract_z
Mo1 Mo 0.000 0.000 0.000
Sb1 Sb 0.000 0.500 0.500
Sb2 Sb 0.500 0.000 0.500
Sb3 Sb 0.500 0.500 0.000
```

Calculated values
N(E_F) = 3.08 states/eV/cell
Space-group type = Pm-3m, No. 221
Total magnetization = 2.494 μB per cell
Distance to the lowest polymorph of the same formula = 207 meV/atom
Volume = 91.9 Å³ per cell
Energy relative to the elements, uncorrected = 0.724 eV per atom
Uncorrected energy = -22.54 eV for the cell shown

---

Compound: MgMo2Se
Source: Alexandria
Functional: PBEsol
Structure: relaxed

CIF file:
```
data_MgMo2Se
_cell_length_a 2.967
_cell_length_b 2.967
_cell_length_c 8.810
_cell_angle_alpha 80.31
_cell_angle_beta 80.31
_cell_angle_gamma 60.00
_space_group_name_H-M_alt 'P 1'
_space_group_IT_number 1
_space_group_name_Hall 'P 1'
loop_
_atom_site_label
_atom_site_type_symbol
_atom_site_fract_x
_atom_site_fract_y
_atom_site_fract_z
Mg1 Mg 0.000 0.000 0.000
Mo1 Mo 0.759 0.759 0.722
Mo2 Mo 0.241 0.241 0.278
Se1 Se 0.500 0.500 0.500
```

Calculated values
N(E_F) = 1.69 states/eV/cell
Space-group type = R-3m, No. 166
Total magnetization = 0.000 μB per cell
Distance to the lowest polymorph of the same formula = 32 meV/atom
Volume = 65.9 Å³ per cell
Energy relative to the elements, uncorrected = 0.279 eV per atom
Uncorrected energy = -27.99 eV for the cell shown

---

Compound: Zr2NiSe
Source: Alexandria
Functional: PBEsol
Structure: relaxed

CIF file:
```
data_Zr2NiSe
_cell_length_a 3.720
_cell_length_b 3.720
_cell_length_c 5.342
_cell_angle_alpha 90.00
_cell_angle_beta 90.00
_cell_angle_gamma 90.00
_space_group_name_H-M_alt 'P 1'
_space_group_IT_number 1
_space_group_name_Hall 'P 1'
loop_
_atom_site_label
_atom_site_type_symbol
_atom_site_fract_x
_atom_site_fract_y
_atom_site_fract_z
Se1 Se 0.500 0.500 0.874
Zr1 Zr 0.000 0.000 0.876
Ni1 Ni 0.000 0.000 0.375
Zr2 Zr 0.500 0.500 0.375
```

Calculated values
N(E_F) = 3.33 states/eV/cell
Space-group type = P4mm, No. 99
Total magnetization = 0.000 μB per cell
Volume = 73.9 Å³ per cell
Energy relative to the elements, uncorrected = -0.722 eV per atom
Uncorrected energy = -31.08 eV for the cell shown

---

Compound: AgPt3
Source: Alexandria
Functional: PBEsol
Structure: relaxed

CIF file:
```
data_AgPt3
_cell_length_a 2.733
_cell_length_b 4.844
_cell_length_c 5.392
_cell_angle_alpha 116.69
_cell_angle_beta 104.68
_cell_angle_gamma 90.00
_space_group_name_H-M_alt 'P 1'
_space_group_IT_number 1
_space_group_name_Hall 'P 1'
loop_
_atom_site_label
_atom_site_type_symbol
_atom_site_fract_x
_atom_site_fract_y
_atom_site_fract_z
Pt1 Pt 0.246 0.922 0.493
Pt2 Pt 0.754 0.429 0.507
Ag1 Ag 0.000 0.994 0.000
Pt3 Pt 0.500 0.488 0.000
```

Calculated values
N(E_F) = 5.03 states/eV/cell
Space-group type = Imm2, No. 44
Total magnetization = 0.000 μB per cell
Volume = 61.1 Å³ per cell
Uncorrected energy = -24.05 eV for the cell shown

---

Compound: DyErCu2
Source: Alexandria
Functional: PBEsol
Structure: relaxed

CIF file:
```
data_DyErCu2
_cell_length_a 4.789
_cell_length_b 4.789
_cell_length_c 4.789
_cell_angle_alpha 60.00
_cell_angle_beta 60.00
_cell_angle_gamma 60.00
_space_group_name_H-M_alt 'P 1'
_space_group_IT_number 1
_space_group_name_Hall 'P 1'
loop_
_atom_site_label
_atom_site_type_symbol
_atom_site_fract_x
_atom_site_fract_y
_atom_site_fract_z
Er1 Er 0.000 0.000 0.000
Cu1 Cu 0.750 0.750 0.750
Dy1 Dy 0.500 0.500 0.500
Cu2 Cu 0.250 0.250 0.250
```

Calculated values
N(E_F) = 2.01 states/eV/cell
Space-group type = Fm-3m, No. 225
Total magnetization = 0.000 μB per cell
Volume = 77.7 Å³ per cell
Uncorrected energy = -19.57 eV for the cell shown

---

Compound: TaNbNF2
Source: Alexandria
Functional: PBEsol
Structure: relaxed

CIF file:
```
data_TaNbNF2
_cell_length_a 4.095
_cell_length_b 4.065
_cell_length_c 4.065
_cell_angle_alpha 90.00
_cell_angle_beta 90.00
_cell_angle_gamma 90.00
_space_group_name_H-M_alt 'P 1'
_space_group_IT_number 1
_space_group_name_Hall 'P 1'
loop_
_atom_site_label
_atom_site_type_symbol
_atom_site_fract_x
_atom_site_fract_y
_atom_site_fract_z
F1 F 0.000 0.500 0.000
N1 N 0.500 0.000 0.000
Ta1 Ta 0.000 0.000 0.000
F2 F 0.000 0.000 0.500
Nb1 Nb 0.500 0.500 0.500
```

Calculated values
N(E_F) = 3.88 states/eV/cell
Space-group type = P4/mmm, No. 123
Total magnetization = 3.728 μB per cell
Volume = 67.7 Å³ per cell
Energy relative to the elements, uncorrected = -0.596 eV per atom
Uncorrected energy = -38.73 eV for the cell shown

---

Compound: Li2InTcS
Source: Alexandria
Functional: PBEsol
Structure: relaxed

CIF file:
```
data_Li2InTcS
_cell_length_a 4.355
_cell_length_b 4.355
_cell_length_c 4.407
_cell_angle_alpha 90.00
_cell_angle_beta 90.00
_cell_angle_gamma 90.00
_space_group_name_H-M_alt 'P 1'
_space_group_IT_number 1
_space_group_name_Hall 'P 1'
loop_
_atom_site_label
_atom_site_type_symbol
_atom_site_fract_x
_atom_site_fract_y
_atom_site_fract_z
In1 In 0.500 0.500 0.500
Tc1 Tc 0.000 0.000 0.500
Li1 Li 0.000 0.500 0.000
Li2 Li 0.500 0.000 0.000
S1 S 0.000 0.000 0.000
```

Calculated values
N(E_F) = 3.72 states/eV/cell
Space-group type = P4/mmm, No. 123
Total magnetization = 0.283 μB per cell
Volume = 83.6 Å³ per cell
Energy relative to the elements, uncorrected = -0.187 eV per atom
Uncorrected energy = -23.50 eV for the cell shown

---

Compound: ReHg2Pb
Source: Alexandria
Functional: PBEsol
Structure: relaxed

CIF file:
```
data_ReHg2Pb
_cell_length_a 2.996
_cell_length_b 5.213
_cell_length_c 5.213
_cell_angle_alpha 90.00
_cell_angle_beta 90.00
_cell_angle_gamma 90.00
_space_group_name_H-M_alt 'P 1'
_space_group_IT_number 1
_space_group_name_Hall 'P 1'
loop_
_atom_site_label
_atom_site_type_symbol
_atom_site_fract_x
_atom_site_fract_y
_atom_site_fract_z
Re1 Re 0.500 0.000 0.000
Hg1 Hg 0.000 0.000 0.500
Hg2 Hg 0.000 0.500 0.000
Pb1 Pb 0.500 0.500 0.500
```

Calculated values
N(E_F) = 2.59 states/eV/cell
Space-group type = P4/mmm, No. 123
Total magnetization = 0.001 μB per cell
Volume = 81.4 Å³ per cell
Uncorrected energy = -14.93 eV for the cell shown

---

Compound: Pd3RuRh
Source: Alexandria
Functional: PBEsol
Structure: relaxed

CIF file:
```
data_Pd3RuRh
_cell_length_a 4.631
_cell_length_b 4.631
_cell_length_c 4.631
_cell_angle_alpha 90.00
_cell_angle_beta 90.00
_cell_angle_gamma 90.00
_space_group_name_H-M_alt 'P 1'
_space_group_IT_number 1
_space_group_name_Hall 'P 1'
loop_
_atom_site_label
_atom_site_type_symbol
_atom_site_fract_x
_atom_site_fract_y
_atom_site_fract_z
Pd1 Pd 0.500 0.000 0.000
Ru1 Ru 0.500 0.500 0.500
Pd2 Pd 0.000 0.500 0.000
Pd3 Pd 0.000 0.000 0.500
Rh1 Rh 0.000 0.000 0.000
```

Calculated values
N(E_F) = 11.38 states/eV/cell
Space-group type = Pm-3m, No. 221
Total magnetization = 3.423 μB per cell
Volume = 99.3 Å³ per cell
Uncorrected energy = -26.98 eV for the cell shown

---

Compound: Lu2NiRu
Source: Alexandria
Functional: PBEsol
Structure: relaxed

CIF file:
```
data_Lu2NiRu
_cell_length_a 4.611
_cell_length_b 4.611
_cell_length_c 4.611
_cell_angle_alpha 60.00
_cell_angle_beta 60.00
_cell_angle_gamma 60.00
_space_group_name_H-M_alt 'P 1'
_space_group_IT_number 1
_space_group_name_Hall 'P 1'
loop_
_atom_site_label
_atom_site_type_symbol
_atom_site_fract_x
_atom_site_fract_y
_atom_site_fract_z
Ni1 Ni 0.000 0.000 0.000
Ru1 Ru 0.500 0.500 0.500
Lu1 Lu 0.250 0.250 0.250
Lu2 Lu 0.750 0.750 0.750
```

Calculated values
N(E_F) = 1.87 states/eV/cell
Space-group type = Fm-3m, No. 225
Total magnetization = 0.000 μB per cell
Volume = 69.3 Å³ per cell
Uncorrected energy = -28.06 eV for the cell shown

---

Compound: MgPtW2
Source: Alexandria
Functional: PBEsol
Structure: relaxed

CIF file:
```
data_MgPtW2
_cell_length_a 3.336
_cell_length_b 4.516
_cell_length_c 5.067
_cell_angle_alpha 116.46
_cell_angle_beta 109.22
_cell_angle_gamma 90.00
_space_group_name_H-M_alt 'P 1'
_space_group_IT_number 1
_space_group_name_Hall 'P 1'
loop_
_atom_site_label
_atom_site_type_symbol
_atom_site_fract_x
_atom_site_fract_y
_atom_site_fract_z
W1 W 0.008 0.008 0.016
W2 W 0.735 0.235 0.469
Mg1 Mg 0.504 0.504 0.009
Pt1 Pt 0.253 0.753 0.507
```

Calculated values
N(E_F) = 2.95 states/eV/cell
Space-group type = Imm2, No. 44
Total magnetization = 0.000 μB per cell
Volume = 63.5 Å³ per cell
Uncorrected energy = -35.42 eV for the cell shown